Entry 1:
Density functional theory data (PBE) for AgBPCl2 after structural relaxation.

a = 5.1455 Å, b = 5.1455 Å, c = 4.8598 Å
α = 90.00°, β = 90.00°, γ = 90.00°
Site moments in Bohr magnetons follow the coordinates.
Element x y z (fractional)
P (0.0000, 0.0000, 0.5000)  0.66
Cl (0.0000, 0.5000, 0.0000)  0.10
Cl (0.5000, 0.0000, 0.0000)  0.10
Ag (0.0000, 0.0000, 0.0000)  0.10
B (0.5000, 0.5000, 0.5000)  0.07

Polymorph energy (0 for the lowest one) ... 705.5 meV per atom
ΔE_f (raw) ... 122.8 kJ per mole of atoms

---

Entry 2:
Density functional theory data (PBE) for AgBPCl2 after structural relaxation.

a = 5.2994 Å, b = 5.2994 Å, c = 3.5304 Å
α = 90.00°, β = 90.00°, γ = 90.00°
Site moments in Bohr magnetons follow the coordinates.
Element x y z (fractional)
Cl (0.0000, 0.5000, 0.0000)  0.08
Cl (0.5000, 0.0000, 0.0000)  0.08
B (0.0000, 0.0000, 0.0000)  -0.01
Ag (0.5000, 0.5000, 0.5000)  0.00
P (0.0000, 0.0000, 0.5000)  0.17

Polymorph energy (0 for the lowest one) ... 0.0 meV per atom
ΔE_f (raw) ... 54.7 kJ per mole of atoms

---

Entry 3:
Density functional theory data (PBE) for AgBPtCl2 after structural relaxation.

a = 4.7868 Å, b = 5.3463 Å, c = 4.7868 Å
α = 90.00°, β = 90.00°, γ = 90.00°
Element x y z (fractional)
Pt (0.0000, 0.5000, 0.0000)
B (0.5000, 0.5000, 0.5000)
Cl (0.0000, 0.0000, 0.5000)
Cl (0.5000, 0.0000, 0.0000)
Ag (0.0000, 0.0000, 0.0000)

ΔE_f (raw) ... 135.0 kJ per mole of atoms

---

Entry 4:
Density functional theory data (PBE) for AgBPt2Cl after structural relaxation.

a = 4.7360 Å, b = 3.7570 Å, c = 4.7360 Å
α = 90.00°, β = 90.00°, γ = 90.00°
Element x y z (fractional)
Pt (0.0000, 0.0000, 0.5000)
Pt (0.5000, 0.0000, 0.0000)
Ag (0.5000, 0.5000, 0.5000)
B (0.0000, 0.5000, 0.0000)
Cl (0.0000, 0.0000, 0.0000)

ΔE_f (raw) ... 135.9 kJ per mole of atoms